[1]
VASP calculation (PBE-GGA) on MgCrCd2 after structural relaxation.

Results
* energy of formation: 0.199 eV/atom
* space-group type: F-43m, No. 216

Cell: 4.806 4.806 4.806 Å, 60.00 60.00 60.00°
Fractional coordinates of all 4 atoms:
Mg  0.000  0.000  0.000
Cr  0.750  0.750  0.750
Cd  0.250  0.250  0.250
Cd  0.500  0.500  0.500

=====

[2]
VASP calculation (PBE-GGA) on Hf4NbN4 after structural relaxation.

Results
* formation energy (no corrections): -1.530 eV per atom
* space-group type: C2/m, No. 12

Cell: 5.501 5.501 7.075 Å, 130.00 130.00 49.03°
Fractional coordinates of all 9 atoms:
Hf  0.104  0.104  0.406
Hf  0.303  0.303  0.199
Hf  0.697  0.697  0.801
Hf  0.896  0.896  0.594
Nb  0.500  0.500  0.000
N  0.196  0.196  0.796
N  0.400  0.400  0.595
N  0.600  0.600  0.405
N  0.804  0.804  0.204

=====

[3]
VASP calculation (PBE-GGA) on MgTaP after structural relaxation.

Results
* energy above the lowest structure with this stoichiometry: 0 meV per atom
* energy of formation: -0.261 eV/atom
* space-group type: I4mm, No. 107

Cell: 5.554 5.554 5.554 Å, 146.18 146.18 48.58°
Fractional coordinates of all 3 atoms:
Mg  0.000  0.000  0.000
Ta  0.704  0.704  0.000
P  0.311  0.311  0.000

=====

[4]
VASP calculation (PBE-GGA) on In5Hg2Pb after structural relaxation.

Results
* energy of formation: 0.017 eV/atom
* space-group type: Pbam, No. 55

Cell: 6.496 12.404 5.476 Å, 90.00 90.00 90.00°
Fractional coordinates of all 16 atoms:
In  0.000  0.000  0.000
In  0.174  0.244  0.000
In  0.186  0.892  0.500
In  0.314  0.392  0.500
In  0.326  0.744  0.000
In  0.500  0.500  0.000
In  0.674  0.256  0.000
In  0.686  0.608  0.500
In  0.814  0.108  0.500
In  0.826  0.756  0.000
Hg  0.172  0.638  0.500
Hg  0.328  0.138  0.500
Hg  0.672  0.862  0.500
Hg  0.828  0.362  0.500
Pb  0.000  0.500  0.000
Pb  0.500  0.000  0.000

=====

[5]
VASP calculation (PBE-GGA) on MgCo2Te after structural relaxation.

Results
* formation energy (no corrections): 0.219 eV per atom
* energy above the lowest structure with this stoichiometry: 145 meV per atom
* space-group type: Pmmm, No. 47

Cell: 3.131 4.020 5.414 Å, 90.00 90.00 90.00°
Fractional coordinates of all 4 atoms:
Mg  0.000  0.000  0.000
Co  0.500  0.500  0.209
Co  0.500  0.500  0.791
Te  0.500  0.000  0.500

=====

[6]
VASP calculation (PBE-GGA) on CaIrW after structural relaxation.

Results
* energy above the lowest structure with this stoichiometry: 0 meV per atom
* energy of formation: 0.211 eV/atom
* space-group type: I4mm, No. 107

Cell: 6.475 6.475 6.475 Å, 151.49 151.49 40.76°
Fractional coordinates of all 3 atoms:
Ca  0.000  0.000  0.000
Ir  0.695  0.695  0.000
W  0.296  0.296  0.000

=====

[7]
VASP calculation (PBE-GGA) on CuAuSe after structural relaxation.

Results
* formation energy (no corrections): 0.188 eV per atom
* space-group type: Fmm2, No. 42

Cell: 6.997 6.821 2.900 Å, 81.31 74.50 24.19°
Fractional coordinates of all 3 atoms:
Cu  0.000  0.000  0.000
Au  0.649  0.649  0.351
Se  0.361  0.361  0.639

=====

[8]
VASP calculation (PBE-GGA) on FeMoP2H after structural relaxation.

Results
* energy: -31.99 eV for the cell shown
* space-group type: P4/mmm, No. 123

Cell: 4.092 4.092 3.241 Å, 90.00 90.00 90.00°
Fractional coordinates of all 5 atoms:
Fe  0.000  0.000  0.000
Mo  0.500  0.500  0.000
P  0.000  0.500  0.500
P  0.500  0.000  0.500
H  0.500  0.500  0.500

=====

[9]
VASP calculation (PBE-GGA) on Tb3Pm2Dy4 after structural relaxation.

Results
* energy of formation: 0.093 eV/atom
* space-group type: C2/c, No. 15

Cell: 10.020 10.020 6.138 Å, 94.96 94.96 70.85°
Fractional coordinates of all 18 atoms:
Tb  0.098  0.902  0.750
Tb  0.237  0.432  0.907
Tb  0.432  0.237  0.407
Tb  0.568  0.763  0.593
Tb  0.763  0.568  0.093
Tb  0.902  0.098  0.250
Pm  0.021  0.735  0.178
Pm  0.265  0.979  0.322
Pm  0.735  0.021  0.678
Pm  0.979  0.265  0.822
Dy  0.076  0.354  0.348
Dy  0.313  0.594  0.485
Dy  0.354  0.076  0.848
Dy  0.406  0.687  0.015
Dy  0.594  0.313  0.985
Dy  0.646  0.924  0.152
Dy  0.687  0.406  0.515
Dy  0.924  0.646  0.652

=====

[10]
VASP calculation (PBE-GGA) on PuBiH after structural relaxation.

Results
* energy above the lowest structure with this stoichiometry: 78 meV per atom
* space-group type: P4/nmm, No. 129

Cell: 3.440 3.440 11.153 Å, 90.00 90.00 90.00°
Fractional coordinates of all 6 atoms:
Pu  0.250  0.250  0.132
Pu  0.750  0.750  0.868
Bi  0.250  0.250  0.652
Bi  0.750  0.750  0.348
H  0.250  0.750  0.000
H  0.750  0.250  0.000

=====

[11]
VASP calculation (PBE-GGA) on MoAsP2 after structural relaxation.

Results
* energy of formation: -0.022 eV/atom
* space-group type: Cm, No. 8

Cell: 4.427 4.427 5.423 Å, 94.38 94.38 42.47°
Fractional coordinates of all 4 atoms:
Mo  0.000  0.000  0.000
As  0.304  0.304  0.697
P  0.522  0.522  0.349
P  0.715  0.715  0.080

=====

[12]
VASP calculation (PBE-GGA) on Pm2FeGe3 after structural relaxation.

Results
* energy above the lowest structure with this stoichiometry: 199 meV per atom
* energy of formation: -0.388 eV/atom
* space-group type: Immm, No. 71

Cell: 8.069 8.069 8.069 Å, 149.22 148.00 44.99°
Fractional coordinates of all 6 atoms:
Pm  0.146  0.146  0.000
Pm  0.854  0.854  0.000
Fe  0.500  0.500  0.000
Ge  0.000  0.500  0.500
Ge  0.342  0.342  0.000
Ge  0.658  0.658  0.000

=====

[13]
VASP calculation (PBE-GGA) on Mn2FeCo after structural relaxation.

Results
* energy above the lowest structure with this stoichiometry: 54 meV per atom
* energy of formation: 0.064 eV/atom
* space-group type: P4/mmm, No. 123

Cell: 2.831 2.831 5.679 Å, 90.00 90.00 90.00°
Fractional coordinates of all 4 atoms:
Mn  0.000  0.000  0.247
Mn  0.000  0.000  0.753
Fe  0.500  0.500  0.000
Co  0.500  0.500  0.500

=====

[14]
VASP calculation (PBE-GGA) on TiNbRePt after structural relaxation.

Results
* energy of formation: -0.433 eV/atom
* space-group type: F-43m, No. 216

Cell: 4.507 4.507 4.507 Å, 60.00 60.00 60.00°
Fractional coordinates of all 4 atoms:
Ti  0.000  0.000  0.000
Nb  0.500  0.500  0.500
Re  0.250  0.250  0.250
Pt  0.750  0.750  0.750

=====

[15]
VASP calculation (PBE-GGA) on Ba2Zn4In3Hg after structural relaxation.

Results
* energy of formation: -0.281 eV/atom
* space-group type: P-4m2, No. 115

Cell: 4.743 4.743 11.680 Å, 90.00 90.00 90.00°
Fractional coordinates of all 10 atoms:
Ba  0.000  0.500  0.248
Ba  0.500  0.000  0.752
Zn  0.000  0.000  0.000
Zn  0.000  0.500  0.634
Zn  0.500  0.000  0.366
Zn  0.500  0.500  0.000
In  0.000  0.500  0.873
In  0.500  0.000  0.127
In  0.500  0.500  0.500
Hg  0.000  0.000  0.500

=====

[16]
VASP calculation (PBE-GGA) on Ca3Zn7Ag2 after structural relaxation.

Results
* energy of formation: -0.248 eV/atom
* space-group type: R-3m, No. 166

Cell: 9.517 9.517 9.517 Å, 33.61 33.61 33.61°
Fractional coordinates of all 12 atoms:
Ca  0.000  0.000  0.000
Ca  0.143  0.143  0.143
Ca  0.857  0.857  0.857
Zn  0.080  0.587  0.587
Zn  0.413  0.413  0.920
Zn  0.413  0.920  0.413
Zn  0.500  0.500  0.500
Zn  0.587  0.080  0.587
Zn  0.587  0.587  0.080
Zn  0.920  0.413  0.413
Ag  0.334  0.334  0.334
Ag  0.666  0.666  0.666

=====

[17]
VASP calculation (PBE-GGA) on TiTl3Si after structural relaxation.

Results
* formation energy (no corrections): 0.866 eV per atom
* space-group type: Pm-3m, No. 221

Cell: 5.393 5.393 5.393 Å, 90.00 90.00 90.00°
Fractional coordinates of all 5 atoms:
Ti  0.000  0.000  0.000
Tl  0.000  0.000  0.500
Tl  0.000  0.500  0.000
Tl  0.500  0.000  0.000
Si  0.500  0.500  0.500

=====

| no. | DOS(E_F) (states/eV per atom) |
| --- | --- |
| 1 | 0.35 |
| 2 | 0.39 |
| 3 | 0.56 |
| 4 | 0.51 |
| 5 | 0.95 |
| 6 | 1.46 |
| 7 | 0.40 |
| 8 | 0.70 |
| 9 | 1.37 |
| 10 | 2.36 |
| 11 | 0.43 |
| 12 | 0.61 |
| 13 | 1.07 |
| 14 | 0.91 |
| 15 | 0.68 |
| 16 | 0.51 |
| 17 | 0.73 |